1.
# AgAuSe (PBE-GGA, relaxed)
data_AgAuSe
_chemical_formula_sum 'Ag1 Au1 Se1'
_symmetry_space_group_name_H-M 'P 3 m 1'
_symmetry_Int_Tables_number 156
_symmetry_space_group_name_Hall 'P 3 -2"'
_cell_length_a 4.8143
_cell_length_b 4.8143
_cell_length_c 2.9019
_cell_angle_alpha 90.00
_cell_angle_beta 90.00
_cell_angle_gamma 120.00
loop_
_atom_site_label
_atom_site_type_symbol
_atom_site_fract_x
_atom_site_fract_y
_atom_site_fract_z
Ag1 Ag 0.0000 0.0000 0.0000
Au1 Au 0.6667 0.3333 0.5114
Se1 Se 0.3333 0.6667 0.5139
# - E_tot (eV/atom) = -3.06
# - energy relative to the elements, uncorrected (meV per atom) = 144

2.
# FeI4 (PBE-GGA, relaxed)
data_FeI4
_chemical_formula_sum 'Fe2 I8'
_symmetry_space_group_name_H-M 'P 1 2/c 1'
_symmetry_Int_Tables_number 13
_symmetry_space_group_name_Hall '-P 2yc'
_cell_length_a 6.460
_cell_length_b 9.287
_cell_length_c 7.491
_cell_angle_alpha 90.00
_cell_angle_beta 102.76
_cell_angle_gamma 90.00
loop_
_atom_site_label
_atom_site_type_symbol
_atom_site_fract_x
_atom_site_fract_y
_atom_site_fract_z
Fe1 Fe 0.000 0.114 0.250
I1 I 0.237 0.083 0.610
I2 I 0.248 0.351 0.230
# - E_tot (eV/atom) = -2.96
# - energy relative to the elements, uncorrected (meV per atom) = -25

3.
# Y2MnIr (PBE-GGA, relaxed)
data_Y2MnIr
_chemical_formula_sum 'Y2 Mn1 Ir1'
_symmetry_space_group_name_H-M 'P 4 m m'
_symmetry_Int_Tables_number 99
_symmetry_space_group_name_Hall 'P 4 -2'
_cell_length_a 3.355
_cell_length_b 3.355
_cell_length_c 8.095
_cell_angle_alpha 90.00
_cell_angle_beta 90.00
_cell_angle_gamma 90.00
loop_
_atom_site_label
_atom_site_type_symbol
_atom_site_fract_x
_atom_site_fract_y
_atom_site_fract_z
Y1 Y 0.000 0.000 0.000
Y2 Y 0.500 0.500 0.380
Mn1 Mn 0.500 0.500 0.755
Ir1 Ir 0.000 0.000 0.592
# - energy of formation from the pure elements (kJ/mol of formula units) = -42
# - E_tot (eV/atom) = -7.85